No. 1
VASP calculation (GGA-PBE) on ScAs2Ir after structural relaxation.

Its excess energy over the best structure of this formula in the dataset is 0.409 eV per atom. As for the formation energy: -0.25 eV per atom. The value obtained for the mass density is 9.4 g/cm³.

The space group is Pmmm (No. 47) and the conventional cell measures 3.005, 3.361 and 6.740 Å, with angles of 90.00, 90.00 and 90.00 degrees. The asymmetric unit holds Sc at (0.000, 0.000, 0.000), As at (0.500, 0.500, 0.272) and Ir at (0.000, 0.000, 0.500).

No. 2
VASP calculation (GGA-PBE) on BePdN2 after structural relaxation.

As for the formation energy without anion corrections: 10.0 kcal/mol of atoms. The value obtained for the mass density is 5.3 g/cm³.

The space group is R-3m (No. 166, hexagonal axes) and the conventional cell measures 3.1751, 3.1751 and 15.3355 Å, with angles of 90.00, 90.00 and 120.00 degrees. The asymmetric unit holds Be at (0.0000, 0.0000, 0.0000), Pd at (0.0000, 0.0000, 0.5000) and N at (0.0000, 0.0000, 0.1001).

No. 3
VASP calculation (GGA-PBE) on NaInPdPt after structural relaxation.

As for the formation energy: -0.33 eV per atom. The value obtained for the mass density is 10.4 g/cm³.

The space group is F-43m (No. 216) and the conventional cell measures 6.553, 6.553 and 6.553 Å, with angles of 90.00, 90.00 and 90.00 degrees. The asymmetric unit holds Na at (0.000, 0.000, 0.000), In at (0.000, 0.000, 0.500), Pd at (0.250, 0.250, 0.750) and Pt at (0.250, 0.250, 0.250).

No. 4
VASP calculation (GGA-PBE) on Pm4PrSm7 after structural relaxation.

Its excess energy over the best structure of this formula in the dataset is 0.000 eV per atom. As for the formation energy: 0.01 eV per atom. The value obtained for the mass density is 7.2 g/cm³.

The space group is P-1 (No. 2) and the conventional cell measures 6.356, 7.342 and 9.066 Å, with angles of 89.95, 76.52 and 89.99 degrees. The asymmetric unit holds Pm at (0.222, 0.000, 0.332), Pm at (0.278, 0.750, 0.667), Pr at (0.000, 0.500, 0.000), Sm at (0.000, 0.000, 0.000), Sm at (0.222, 0.500, 0.333), Sm at (0.278, 0.250, 0.667) and Sm at (0.500, 0.250, 0.000).